Na3Mn2RuO6: optimized geometry, PBE+U.

Cell lengths 5.4560, 5.4560, 5.6981 Å; angles 99.33, 99.33, 119.82 degrees
Last column: magnetic moment on the atom in μB.
Fractional positions:
Na 0.1678 0.8322 0.5000  0.00
Na 0.5000 0.5000 0.5000  0.00
Na 0.8322 0.1678 0.5000  0.00
O 0.2451 0.2451 0.7981  -0.08
O 0.0679 0.3817 0.2066  -0.06
O 0.3817 0.0679 0.2066  -0.06
O 0.7549 0.7549 0.2019  -0.08
O 0.6183 0.9321 0.7934  -0.06
O 0.9321 0.6183 0.7934  -0.06
Mn 0.6670 0.3330 0.0000  4.46
Mn 0.3330 0.6670 0.0000  4.46
Ru 0.0000 0.0000 0.0000  -1.67

Its energy is -75.81 eV per cell. The density of states at the Fermi level comes out at 2.59 states/eV/f.u. For the calculated density, the calculation gives 4.48 g/cm³.